Sr2NdUO6 | PBE | relaxed

Summary:
Volume in Å³ per atom: 16.338
Energy relative to the lowest polymorph listed for this composition in meV per atom: 0
Uncorrected formation energy in eV/f.u.: -32.10
Total DFT energy (no corrections) in eV/cell: -162.54

Geometry as CIF:
```
data_Sr2NdUO6
_space_group_name_H-M_alt 'P 1 21/c 1'
_space_group_IT_number 14
_cell_length_a 6.0544
_cell_length_b 6.2245
_cell_length_c 10.5670
_cell_angle_alpha 90.00
_cell_angle_beta 124.86
_cell_angle_gamma 90.00
loop_
_space_group_symop_operation_xyz
'x,y,z'
'-x,-y,-z'
'-x,y+1/2,-z+1/2'
'x,-y+1/2,z+1/2'
loop_
_atom_site_label
_atom_site_type_symbol
_atom_site_fract_x
_atom_site_fract_y
_atom_site_fract_z
Sr1 Sr 0.2389 0.0463 0.2516
Nd1 Nd 0.5000 0.0000 0.0000
U1 U 0.0000 0.0000 0.5000
O1 O 0.1240 0.2137 0.9369
O2 O 0.2333 0.6890 0.9455
O3 O 0.3464 0.0471 0.7371
```